GaGeAs: relaxed, GGA-PBE.

Output
DOS at the Fermi energy in states/eV/atom: 0.29
Energy of formation in meV per atom: 79.6
M_tot in μB/cell: 0.00
Energy above the most stable polymorph in this dataset in meV/atom: 0
Space-group type: No. 36

The structure in POSCAR format:
```
GaGeAs
1.0
-2.5191 -2.6267 -0.6751
3.5256 -3.4188 0.1466
0.0857 0.4369 8.1277
As Ga Ge
2 2 2
direct
0.9207 0.0827 0.8414
0.0793 0.5827 0.1586
0.8252 0.6765 0.6504
0.1748 0.1765 0.3496
0.6671 0.7818 0.3341
0.3329 0.2818 0.6659
```